No. 1
This record from the Alexandria database describes a relaxed structure of Cs2SbAu2. The functional is PBE-GGA.

The structure in POSCAR format:
```
Cs2SbAu2
1.0
7.610 0.000 0.000
0.000 7.610 0.000
0.000 0.000 5.885
Cs Sb Au
4 2 4
Direct
0.678 0.178 0.500
0.822 0.678 0.500
0.322 0.822 0.500
0.178 0.322 0.500
0.000 0.000 0.000
0.500 0.500 0.000
0.863 0.363 0.000
0.637 0.863 0.000
0.137 0.637 0.000
0.363 0.137 0.000
```

Computed properties:
* energy relative to the elements, uncorrected: -0.2490 eV/atom
* symmetry: P4/mbm (127)

No. 2
This record from the Alexandria database describes a relaxed structure of BaSbTe2Rh. The functional is PBE-GGA.

The structure in POSCAR format:
```
BaSbTe2Rh
1.0
-3.963 0.745 3.956
-3.913 -2.016 -3.540
0.826 -4.563 1.686
Sb Te Rh Ba
1 2 1 1
Direct
0.000 0.000 0.500
0.000 0.500 0.000
0.500 0.000 0.000
0.000 0.000 0.000
0.500 0.500 0.500
```

Computed properties:
* energy relative to the elements, uncorrected: -0.5594 eV/atom
* symmetry: P4/mmm (123)

No. 3
This record from the Alexandria database describes a relaxed structure of CrRePb2. The functional is PBE-GGA.

The structure in POSCAR format:
```
CrRePb2
1.0
5.257 -0.072 0.687
4.304 3.019 0.687
2.669 0.823 5.747
Cr Pb Re
1 2 1
Direct
0.829 0.829 0.786
0.055 0.055 0.919
0.201 0.201 0.311
0.414 0.414 0.484
```

Computed properties:
* calculated formation energy: 0.727 eV/atom
* symmetry: Cm (8)

Number 1: size of the total moment 0.0 μB/cell, mass density 7616 kg/m³, raw total energy -2.726 eV per atom. Number 2: size of the total moment 0.0 μB/cell, mass density 6509 kg/m³, raw total energy -4.495 eV per atom. Number 3: size of the total moment 0.0 μB/cell, mass density 12488 kg/m³, raw total energy -6.645 eV per atom.